1.
Density functional theory data (PBE) for crystalline K4Ru2Cl10O at its relaxed geometry.

Results
E_form (uncorrected): -1.300 eV per atom

Structure (CIF):
```
data_K4Ru2Cl10O
_chemical_formula_sum 'K8 Ru4 Cl20 O2'
_space_group_name_H-M_alt 'I 4/m m m'
_space_group_IT_number 139
_space_group_name_Hall '-I 4 2'
_cell_length_a 7.305
_cell_length_b 7.305
_cell_length_c 17.323
_cell_angle_alpha 90.00
_cell_angle_beta 90.00
_cell_angle_gamma 90.00
loop_
_atom_site_label
_atom_site_type_symbol
_atom_site_fract_x
_atom_site_fract_y
_atom_site_fract_z
_atom_site_occupancy
K1 K 0.000 0.500 0.000 1
K2 K 0.000 0.500 0.250 1
Ru1 Ru 0.000 0.000 0.104 1
Cl1 Cl 0.000 0.000 0.239 1
Cl2 Cl 0.232 0.232 0.113 1
O1 O 0.000 0.000 0.000 1
```

2.
Density functional theory data (PBE) for crystalline InAsRuCl at its relaxed geometry.

Results
E_form (uncorrected): -0.146 eV per atom
Density of states at the Fermi level: 4.3 states/eV per cell

Structure (CIF):
```
data_InAsRuCl
_chemical_formula_sum 'In2 As2 Ru2 Cl2'
_space_group_name_H-M_alt 'C 1 m 1'
_space_group_IT_number 8
_cell_length_a 6.280
_cell_length_b 3.654
_cell_length_c 8.649
_cell_angle_alpha 90.00
_cell_angle_beta 104.13
_cell_angle_gamma 90.00
loop_
_space_group_symop_operation_xyz
'x,y,z'
'x,-y,z'
'x+1/2,y+1/2,z'
'x+1/2,-y+1/2,z'
loop_
_atom_site_label
_atom_site_type_symbol
_atom_site_fract_x
_atom_site_fract_y
_atom_site_fract_z
_atom_site_occupancy
In1 In 0.000 0.000 0.000 1
As1 As 0.224 0.000 0.671 1
Ru1 Ru 0.348 0.500 0.546 1
Cl1 Cl 0.253 0.500 0.264 1
```

3.
Density functional theory data (PBE) for crystalline Mn2SnMoN at its relaxed geometry.

Results
E_form (uncorrected): -0.131 eV per atom
Density of states at the Fermi level: 4.1 states/eV per cell

Structure (CIF):
```
data_Mn2SnMoN
_chemical_formula_sum 'Mn2 Sn1 Mo1 N1'
_space_group_name_H-M_alt 'P 4/m m m'
_space_group_IT_number 123
_space_group_name_Hall '-P 4 2'
_cell_length_a 4.016
_cell_length_b 4.016
_cell_length_c 4.169
_cell_angle_alpha 90.00
_cell_angle_beta 90.00
_cell_angle_gamma 90.00
loop_
_atom_site_label
_atom_site_type_symbol
_atom_site_fract_x
_atom_site_fract_y
_atom_site_fract_z
_atom_site_occupancy
Mn1 Mn 0.000 0.500 0.000 1
Sn1 Sn 0.000 0.000 0.500 1
Mo1 Mo 0.500 0.500 0.500 1
N1 N 0.500 0.500 0.000 1
```

4.
Density functional theory data (PBE) for crystalline UBi3 at its relaxed geometry.

Results
DFT formation energy: 0.124 eV per atom
Density of states at the Fermi level: 32.3 states/eV per cell

Structure (CIF):
```
data_UBi3
_chemical_formula_sum 'U4 Bi12'
_space_group_name_H-M_alt 'C m c m'
_space_group_IT_number 63
_space_group_name_Hall '-C 2c 2'
_cell_length_a 3.356
_cell_length_b 12.222
_cell_length_c 11.668
_cell_angle_alpha 90.00
_cell_angle_beta 90.00
_cell_angle_gamma 90.00
loop_
_atom_site_label
_atom_site_type_symbol
_atom_site_fract_x
_atom_site_fract_y
_atom_site_fract_z
_atom_site_occupancy
U1 U 0.000 0.227 0.250 1
Bi1 Bi 0.000 0.041 0.750 1
Bi2 Bi 0.000 0.367 0.519 1
```

5.
Density functional theory data (PBE) for crystalline KYRe2 at its relaxed geometry.

Results
DFT formation energy: 1.016 eV per atom
Density of states at the Fermi level: 7.8 states/eV per cell

Structure (CIF):
```
data_KYRe2
_chemical_formula_sum 'K2 Y2 Re4'
_space_group_name_H-M_alt 'C m m m'
_space_group_IT_number 65
_space_group_name_Hall '-C 2 2'
_cell_length_a 3.270
_cell_length_b 4.596
_cell_length_c 10.824
_cell_angle_alpha 90.00
_cell_angle_beta 90.00
_cell_angle_gamma 90.00
loop_
_atom_site_label
_atom_site_type_symbol
_atom_site_fract_x
_atom_site_fract_y
_atom_site_fract_z
_atom_site_occupancy
K1 K 0.000 0.000 0.000 1
Y1 Y 0.000 0.000 0.500 1
Re1 Re 0.000 0.500 0.273 1
```

6.
Density functional theory data (PBE) for crystalline Er2ZnBi at its relaxed geometry.

Results
DFT formation energy: -0.059 eV per atom
Density of states at the Fermi level: 10.2 states/eV per cell

Structure (CIF):
```
data_Er2ZnBi
_chemical_formula_sum 'Er6 Zn3 Bi3'
_space_group_name_H-M_alt 'R -3 m'
_space_group_IT_number 166
_space_group_name_Hall '-R 3 2"'
_cell_length_a 3.5096
_cell_length_b 3.5096
_cell_length_c 32.1843
_cell_angle_alpha 90.00
_cell_angle_beta 90.00
_cell_angle_gamma 120.00
loop_
_atom_site_label
_atom_site_type_symbol
_atom_site_fract_x
_atom_site_fract_y
_atom_site_fract_z
_atom_site_occupancy
Er1 Er 0.0000 0.0000 0.0984 1
Zn1 Zn 0.0000 0.0000 0.5000 1
Bi1 Bi 0.0000 0.0000 0.0000 1
```

7.
Density functional theory data (PBE) for crystalline ScW2Se at its relaxed geometry.

Results
E_form (uncorrected): 0.437 eV per atom
Density of states at the Fermi level: 7.3 states/eV per cell

Structure (CIF):
```
data_ScW2Se
_chemical_formula_sum 'Sc2 W4 Se2'
_space_group_name_H-M_alt 'C m m m'
_space_group_IT_number 65
_space_group_name_Hall '-C 2 2'
_cell_length_a 5.232
_cell_length_b 9.097
_cell_length_c 2.961
_cell_angle_alpha 90.00
_cell_angle_beta 90.00
_cell_angle_gamma 90.00
loop_
_atom_site_label
_atom_site_type_symbol
_atom_site_fract_x
_atom_site_fract_y
_atom_site_fract_z
_atom_site_occupancy
Sc1 Sc 0.000 0.000 0.000 1
W1 W 0.250 0.250 0.500 1
Se1 Se 0.000 0.500 0.000 1
```

8.
Density functional theory data (PBE) for crystalline Er2PuSc at its relaxed geometry.

Results
DFT formation energy: 0.176 eV per atom
Density of states at the Fermi level: 40.2 states/eV per cell

Structure (CIF):
```
data_Er2PuSc
_chemical_formula_sum 'Er8 Pu4 Sc4'
_space_group_name_H-M_alt 'F m -3 m'
_space_group_IT_number 225
_space_group_name_Hall '-F 4 2 3'
_cell_length_a 7.665
_cell_length_b 7.665
_cell_length_c 7.665
_cell_angle_alpha 90.00
_cell_angle_beta 90.00
_cell_angle_gamma 90.00
loop_
_atom_site_label
_atom_site_type_symbol
_atom_site_fract_x
_atom_site_fract_y
_atom_site_fract_z
_atom_site_occupancy
Er1 Er 0.250 0.250 0.250 1
Pu1 Pu 0.000 0.000 0.000 1
Sc1 Sc 0.000 0.000 0.500 1
```

9.
Density functional theory data (PBE) for crystalline SiPBr2 at its relaxed geometry.

Results
E_form (uncorrected): 0.269 eV per atom
Density of states at the Fermi level: 4.6 states/eV per cell

Structure (CIF):
```
data_SiPBr2
_chemical_formula_sum 'Si2 P2 Br4'
_space_group_name_H-M_alt 'C m m 2'
_space_group_IT_number 35
_cell_length_a 3.650
_cell_length_b 8.015
_cell_length_c 8.669
_cell_angle_alpha 90.00
_cell_angle_beta 90.00
_cell_angle_gamma 90.00
loop_
_space_group_symop_operation_xyz
'x,y,z'
'-x,-y,z'
'-x,y,z'
'x,-y,z'
'x+1/2,y+1/2,z'
'-x+1/2,-y+1/2,z'
'-x+1/2,y+1/2,z'
'x+1/2,-y+1/2,z'
loop_
_atom_site_label
_atom_site_type_symbol
_atom_site_fract_x
_atom_site_fract_y
_atom_site_fract_z
_atom_site_occupancy
Si1 Si 0.000 0.000 0.000 1
P1 P 0.000 0.500 0.152 1
Br1 Br 0.000 0.000 0.366 1
Br2 Br 0.000 0.500 0.782 1
```

10.
Density functional theory data (PBE) for crystalline PmP at its relaxed geometry.

Results
DFT formation energy: -1.564 eV per atom
Density of states at the Fermi level: 1.2 states/eV per cell

Structure (CIF):
```
data_PmP
_chemical_formula_sum 'Pm4 P4'
_space_group_name_H-M_alt 'F m -3 m'
_space_group_IT_number 225
_space_group_name_Hall '-F 4 2 3'
_cell_length_a 5.843
_cell_length_b 5.843
_cell_length_c 5.843
_cell_angle_alpha 90.00
_cell_angle_beta 90.00
_cell_angle_gamma 90.00
loop_
_atom_site_label
_atom_site_type_symbol
_atom_site_fract_x
_atom_site_fract_y
_atom_site_fract_z
_atom_site_occupancy
Pm1 Pm 0.000 0.000 0.000 1
P1 P 0.000 0.000 0.500 1
```

11.
Density functional theory data (PBE) for crystalline NdCu3P3 at its relaxed geometry.

Results
DFT formation energy: -0.282 eV per atom
Density of states at the Fermi level: 4.2 states/eV per cell

Structure (CIF):
```
data_NdCu3P3
_chemical_formula_sum 'Nd2 Cu6 P6'
_space_group_name_H-M_alt 'P m -3 n'
_space_group_IT_number 223
_space_group_name_Hall '-P 4n 2 3'
_cell_length_a 6.324
_cell_length_b 6.324
_cell_length_c 6.324
_cell_angle_alpha 90.00
_cell_angle_beta 90.00
_cell_angle_gamma 90.00
loop_
_atom_site_label
_atom_site_type_symbol
_atom_site_fract_x
_atom_site_fract_y
_atom_site_fract_z
_atom_site_occupancy
Nd1 Nd 0.000 0.000 0.000 1
Cu1 Cu 0.000 0.250 0.500 1
P1 P 0.000 0.500 0.250 1
```

12.
Density functional theory data (PBE) for crystalline MgMoPS2 at its relaxed geometry.

Results
E_form (uncorrected): 0.879 eV per atom
Density of states at the Fermi level: 4.4 states/eV per cell

Structure (CIF):
```
data_MgMoPS2
_chemical_formula_sum 'Mg1 Mo1 P1 S2'
_space_group_name_H-M_alt 'P 4/m m m'
_space_group_IT_number 123
_space_group_name_Hall '-P 4 2'
_cell_length_a 4.679
_cell_length_b 4.679
_cell_length_c 4.726
_cell_angle_alpha 90.00
_cell_angle_beta 90.00
_cell_angle_gamma 90.00
loop_
_atom_site_label
_atom_site_type_symbol
_atom_site_fract_x
_atom_site_fract_y
_atom_site_fract_z
_atom_site_occupancy
Mg1 Mg 0.000 0.000 0.000 1
Mo1 Mo 0.500 0.500 0.500 1
P1 P 0.000 0.000 0.500 1
S1 S 0.000 0.500 0.000 1
```

13.
Density functional theory data (PBE) for crystalline Li2CoIrS at its relaxed geometry.

Results
E_form (uncorrected): 0.709 eV per atom
Density of states at the Fermi level: 3.7 states/eV per cell

Structure (CIF):
```
data_Li2CoIrS
_chemical_formula_sum 'Li2 Co1 Ir1 S1'
_space_group_name_H-M_alt 'P 4/m m m'
_space_group_IT_number 123
_space_group_name_Hall '-P 4 2'
_cell_length_a 4.625
_cell_length_b 4.625
_cell_length_c 4.458
_cell_angle_alpha 90.00
_cell_angle_beta 90.00
_cell_angle_gamma 90.00
loop_
_atom_site_label
_atom_site_type_symbol
_atom_site_fract_x
_atom_site_fract_y
_atom_site_fract_z
_atom_site_occupancy
Li1 Li 0.000 0.500 0.000 1
Co1 Co 0.000 0.000 0.500 1
Ir1 Ir 0.000 0.000 0.000 1
S1 S 0.500 0.500 0.500 1
```

14.
Density functional theory data (PBE) for crystalline KLiMn2Tl at its relaxed geometry.

Results
DFT formation energy: 1.549 eV per atom
Density of states at the Fermi level: 6.8 states/eV per cell

Structure (CIF):
```
data_KLiMn2Tl
_chemical_formula_sum 'K1 Li1 Mn2 Tl1'
_space_group_name_H-M_alt 'P 4/m m m'
_space_group_IT_number 123
_space_group_name_Hall '-P 4 2'
_cell_length_a 5.664
_cell_length_b 5.664
_cell_length_c 5.961
_cell_angle_alpha 90.00
_cell_angle_beta 90.00
_cell_angle_gamma 90.00
loop_
_atom_site_label
_atom_site_type_symbol
_atom_site_fract_x
_atom_site_fract_y
_atom_site_fract_z
_atom_site_occupancy
K1 K 0.000 0.000 0.000 1
Li1 Li 0.500 0.500 0.500 1
Mn1 Mn 0.000 0.500 0.000 1
Tl1 Tl 0.000 0.000 0.500 1
```

15.
Density functional theory data (PBE) for crystalline BaNa2Cd2 at its relaxed geometry.

Results
DFT formation energy: -0.177 eV per atom
Density of states at the Fermi level: 9.9 states/eV per cell

Structure (CIF):
```
data_BaNa2Cd2
_chemical_formula_sum 'Ba4 Na8 Cd8'
_space_group_name_H-M_alt 'I m m a'
_space_group_IT_number 74
_space_group_name_Hall '-I 2b 2'
_cell_length_a 4.623
_cell_length_b 5.103
_cell_length_c 29.441
_cell_angle_alpha 90.00
_cell_angle_beta 90.00
_cell_angle_gamma 90.00
loop_
_atom_site_label
_atom_site_type_symbol
_atom_site_fract_x
_atom_site_fract_y
_atom_site_fract_z
_atom_site_occupancy
Ba1 Ba 0.000 0.250 0.076 1
Na1 Na 0.000 0.250 0.303 1
Na2 Na 0.000 0.250 0.798 1
Cd1 Cd 0.000 0.250 0.524 1
Cd2 Cd 0.000 0.250 0.626 1
```

16.
Density functional theory data (PBE) for crystalline InSiTc2 at its relaxed geometry.

Results
E_form (uncorrected): 0.299 eV per atom
Density of states at the Fermi level: 10.1 states/eV per cell

Structure (CIF):
```
data_InSiTc2
_chemical_formula_sum 'In2 Si2 Tc4'
_space_group_name_H-M_alt 'I -4 m 2'
_space_group_IT_number 119
_space_group_name_Hall 'I -4 -2'
_cell_length_a 3.895
_cell_length_b 3.895
_cell_length_c 8.222
_cell_angle_alpha 90.00
_cell_angle_beta 90.00
_cell_angle_gamma 90.00
loop_
_atom_site_label
_atom_site_type_symbol
_atom_site_fract_x
_atom_site_fract_y
_atom_site_fract_z
_atom_site_occupancy
In1 In 0.000 0.000 0.000 1
Si1 Si 0.000 0.500 0.750 1
Tc1 Tc 0.000 0.000 0.500 1
Tc2 Tc 0.000 0.500 0.250 1
```

17.
Density functional theory data (PBE) for crystalline BeCu2Ir at its relaxed geometry.

Results
DFT formation energy: 0.031 eV per atom
Density of states at the Fermi level: 3.9 states/eV per cell

Structure (CIF):
```
data_BeCu2Ir
_chemical_formula_sum 'Be2 Cu4 Ir2'
_space_group_name_H-M_alt 'C m m m'
_space_group_IT_number 65
_space_group_name_Hall '-C 2 2'
_cell_length_a 4.867
_cell_length_b 7.249
_cell_length_c 2.749
_cell_angle_alpha 90.00
_cell_angle_beta 90.00
_cell_angle_gamma 90.00
loop_
_atom_site_label
_atom_site_type_symbol
_atom_site_fract_x
_atom_site_fract_y
_atom_site_fract_z
_atom_site_occupancy
Be1 Be 0.000 0.000 0.000 1
Cu1 Cu 0.250 0.250 0.500 1
Ir1 Ir 0.000 0.500 0.000 1
```

18.
Density functional theory data (PBE) for crystalline Pr2ErGa4Pt3 at its relaxed geometry.

Results
DFT formation energy: -0.890 eV per atom
Density of states at the Fermi level: 8.2 states/eV per cell

Structure (CIF):
```
data_Pr2ErGa4Pt3
_chemical_formula_sum 'Pr2 Er1 Ga4 Pt3'
_space_group_name_H-M_alt 'P -4 m 2'
_space_group_IT_number 115
_cell_length_a 4.272
_cell_length_b 4.272
_cell_length_c 11.549
_cell_angle_alpha 90.00
_cell_angle_beta 90.00
_cell_angle_gamma 90.00
loop_
_space_group_symop_operation_xyz
'x,y,z'
'y,-x,-z'
'-x,-y,z'
'-y,x,-z'
'-x,y,z'
'-y,-x,-z'
'x,-y,z'
'y,x,-z'
loop_
_atom_site_label
_atom_site_type_symbol
_atom_site_fract_x
_atom_site_fract_y
_atom_site_fract_z
_atom_site_occupancy
Pr1 Pr 0.000 0.500 0.229 1
Er1 Er 0.000 0.000 0.500 1
Ga1 Ga 0.000 0.000 0.000 1
Ga2 Ga 0.000 0.500 0.663 1
Ga3 Ga 0.500 0.500 0.000 1
Pt1 Pt 0.000 0.500 0.877 1
Pt2 Pt 0.500 0.500 0.500 1
```

19.
Density functional theory data (PBE) for crystalline Mn3V3Se8 at its relaxed geometry.

Results
E_form (uncorrected): -0.548 eV per atom
Density of states at the Fermi level: 35.4 states/eV per cell

Structure (CIF):
```
data_Mn3V3Se8
_chemical_formula_sum 'Mn9 V9 Se24'
_space_group_name_H-M_alt 'R -3 m'
_space_group_IT_number 166
_space_group_name_Hall '-R 3 2"'
_cell_length_a 7.5544
_cell_length_b 7.5544
_cell_length_c 18.6969
_cell_angle_alpha 90.00
_cell_angle_beta 90.00
_cell_angle_gamma 120.00
loop_
_atom_site_label
_atom_site_type_symbol
_atom_site_fract_x
_atom_site_fract_y
_atom_site_fract_z
_atom_site_occupancy
Mn1 Mn 0.0000 0.0000 0.0000 1
Mn2 Mn 0.0000 0.0000 0.3735 1
V1 V 0.0000 0.5000 0.5000 1
Se1 Se 0.0000 0.0000 0.2409 1
Se2 Se 0.0228 0.5114 0.7540 1
```

20.
Density functional theory data (PBE) for crystalline K3W at its relaxed geometry.

Results
DFT formation energy: 1.490 eV per atom
Density of states at the Fermi level: 2.3 states/eV per cell

Structure (CIF):
```
data_K3W
_chemical_formula_sum 'K3 W1'
_space_group_name_H-M_alt 'P 4/m m m'
_space_group_IT_number 123
_space_group_name_Hall '-P 4 2'
_cell_length_a 4.044
_cell_length_b 4.044
_cell_length_c 12.201
_cell_angle_alpha 90.00
_cell_angle_beta 90.00
_cell_angle_gamma 90.00
loop_
_atom_site_label
_atom_site_type_symbol
_atom_site_fract_x
_atom_site_fract_y
_atom_site_fract_z
_atom_site_occupancy
K1 K 0.000 0.000 0.000 1
K2 K 0.500 0.500 0.315 1
W1 W 0.000 0.000 0.500 1
```